Fe2PRh: relaxed, PBE.

Lattice parameters (Å, degrees): 2.875 2.875 5.899 90.00 90.00 90.00
Element x y z (fractional)
Rh 0.500 0.500 0.734
Fe 0.500 0.500 0.272
Fe 0.000 0.000 0.023
P 0.000 0.000 0.470

## Properties
The formation energy from the elements is -0.19 eV per atom. The calculation puts the calculated total energy at -7.61 eV per atom. The calculated density comes out at 8.36 g/cm³. The value obtained for the density of states at the Fermi level is 0.775 states/eV/atom.